An optimized crystal structure of HfTi4Tc5, computed with GGA-PBE.

Values from the calculation:
As for the symmetry: P4/mmm (123). The calculation puts the energy of formation from the pure elements at -0.4724 eV per atom. For the density of states at the Fermi level, the calculation gives 0.89 states/eV per atom.

Unit cell a=3.1387 b=3.1387 c=15.6806 alpha=90.00 beta=90.00 gamma=90.00
Element x y z (fractional)
Tc 0.5000 0.5000 0.8923
Tc 0.5000 0.5000 0.5000
Tc 0.5000 0.5000 0.1077
Tc 0.5000 0.5000 0.3039
Tc 0.5000 0.5000 0.6961
Hf 0.0000 0.0000 0.0000
Ti 0.0000 0.0000 0.2051
Ti 0.0000 0.0000 0.7949
Ti 0.0000 0.0000 0.5982
Ti 0.0000 0.0000 0.4018